## P
A plane-wave DFT calculation with PBE was carried out for a relaxed structure of KCo2Pd.

Magnetization ... 8.18 μB per cell
Theoretical density ... 4.6 Mg/m³
SG ... I4_1/amd (141)

```
KCo2Pd
1.0
-3.9749 2.0093 1.3677
-2.0389 -4.1835 0.2205
-0.5166 -1.8594 9.1663
Pd Co K
2 4 2
direct
0.7500 0.2500 0.5000
0.0000 0.0000 0.0000
0.3750 0.1252 0.7500
0.8748 0.1250 0.2500
0.8752 0.6250 0.2500
0.8750 0.1248 0.7500
0.5000 0.5000 0.0000
0.2500 0.7500 0.5000
```



## Q
A plane-wave DFT calculation with PBE was carried out for a relaxed structure of KCo2Pd.

Magnetization ... 3.68 μB per cell
Theoretical density ... 6.5 Mg/m³
SG ... Fm-3m (225)

```
KCo2Pd
1.0
0.1987 -4.2871 1.5448
-3.8243 -2.1608 1.2291
-1.6077 -3.4209 -2.5530
Co Pd K
2 1 1
direct
0.2500 0.2500 0.2500
0.7500 0.7500 0.7500
0.5000 0.5000 0.5000
0.0000 0.0000 0.0000
```



Stability, highest: P



## P
A plane-wave DFT calculation with PBE was carried out for a relaxed structure of KCo3Pt.

Magnetization ... 4.90 μB per cell
Theoretical density ... 8.4 Mg/m³
SG ... Pm-3m (221)

```
KCo3Pt
1.0
4.3273 0.0000 0.0000
0.0000 4.3273 0.0000
0.0000 0.0000 4.3273
K Co Pt
1 3 1
direct
0.0000 0.0000 0.0000
0.0000 0.0000 0.5000
0.5000 0.0000 0.0000
0.0000 0.5000 0.0000
0.5000 0.5000 0.5000
```



## Q
A plane-wave DFT calculation with PBE was carried out for a relaxed structure of KCo3Pt.

Magnetization ... 6.65 μB per cell
Theoretical density ... 6.2 Mg/m³
SG ... Pm-3m (221)

```
KCo3Pt
1.0
4.7927 0.0000 0.0000
0.0000 4.7927 0.0000
0.0000 0.0000 4.7927
Co Pt K
3 1 1
direct
0.5000 0.0000 0.0000
0.0000 0.5000 0.0000
0.0000 0.0000 0.5000
0.0000 0.0000 0.0000
0.5000 0.5000 0.5000
```



Stability, highest: Q